1.
MgCd2Cl: optimized geometry, PBE-GGA.

## Properties
Energy above the lowest structure with this stoichiometry = 0.76 eV/f.u.

Geometry as CIF:
```
data_MgCd2Cl
_chemical_formula_sum 'Mg4 Cd8 Cl4'
_space_group_name_H-M_alt 'I -4 2 d'
_space_group_IT_number 122
_space_group_name_Hall 'I -4 2bw'
_cell_length_a 8.363
_cell_length_b 8.363
_cell_length_c 5.778
_cell_angle_alpha 90.00
_cell_angle_beta 90.00
_cell_angle_gamma 90.00
loop_
_atom_site_label
_atom_site_fract_x
_atom_site_fract_y
_atom_site_fract_z
Mg1 0.000 0.000 0.000
Cd1 0.244 0.750 0.125
Cl1 0.000 0.000 0.500
```

---

2.
MgCd2Cl: optimized geometry, PBE-GGA.

## Properties
Energy above the lowest structure with this stoichiometry = 0.00 eV/f.u.

Geometry as CIF:
```
data_MgCd2Cl
_chemical_formula_sum 'Mg1 Cd2 Cl1'
_space_group_name_H-M_alt 'P 1 m 1'
_space_group_IT_number 6
_space_group_name_Hall 'P -2y'
_cell_length_a 3.654
_cell_length_b 3.524
_cell_length_c 8.449
_cell_angle_alpha 90.00
_cell_angle_beta 90.61
_cell_angle_gamma 90.00
loop_
_atom_site_label
_atom_site_fract_x
_atom_site_fract_y
_atom_site_fract_z
Mg1 0.000 0.000 0.000
Cd1 0.494 0.000 0.739
Cd2 0.990 0.500 0.551
Cl1 0.001 0.500 0.194
```

---

3.
MgCd2Cl: optimized geometry, PBE-GGA.

## Properties
Energy above the lowest structure with this stoichiometry = 0.91 eV/f.u.

Geometry as CIF:
```
data_MgCd2Cl
_chemical_formula_sum 'Mg1 Cd2 Cl1'
_space_group_name_H-M_alt 'P m m m'
_space_group_IT_number 47
_space_group_name_Hall '-P 2 2'
_cell_length_a 3.428
_cell_length_b 5.382
_cell_length_c 5.434
_cell_angle_alpha 90.00
_cell_angle_beta 90.00
_cell_angle_gamma 90.00
loop_
_atom_site_label
_atom_site_fract_x
_atom_site_fract_y
_atom_site_fract_z
Mg1 0.000 0.000 0.000
Cd1 0.500 0.500 0.252
Cl1 0.000 0.000 0.500
```

---

4.
MgCdCl4: optimized geometry, PBE-GGA.

## Properties
Energy above the lowest structure with this stoichiometry = 0.00 eV/f.u.

Geometry as CIF:
```
data_MgCdCl4
_chemical_formula_sum 'Mg4 Cd4 Cl16'
_space_group_name_H-M_alt 'I m m a'
_space_group_IT_number 74
_space_group_name_Hall '-I 2b 2'
_cell_length_a 7.389
_cell_length_b 7.812
_cell_length_c 10.765
_cell_angle_alpha 90.00
_cell_angle_beta 90.00
_cell_angle_gamma 90.00
loop_
_atom_site_label
_atom_site_fract_x
_atom_site_fract_y
_atom_site_fract_z
Mg1 0.250 0.250 0.250
Cd1 0.000 0.000 0.000
Cl1 0.000 0.028 0.248
Cl2 0.245 0.250 0.013
```

---

5.
MgCd2Cl: optimized geometry, PBE-GGA.

## Properties
Energy above the lowest structure with this stoichiometry = 0.75 eV/f.u.

Geometry as CIF:
```
data_MgCd2Cl
_chemical_formula_sum 'Mg2 Cd4 Cl2'
_space_group_name_H-M_alt 'C m m m'
_space_group_IT_number 65
_space_group_name_Hall '-C 2 2'
_cell_length_a 5.609
_cell_length_b 9.549
_cell_length_c 3.555
_cell_angle_alpha 90.00
_cell_angle_beta 90.00
_cell_angle_gamma 90.00
loop_
_atom_site_label
_atom_site_fract_x
_atom_site_fract_y
_atom_site_fract_z
Mg1 0.000 0.000 0.000
Cd1 0.250 0.250 0.500
Cl1 0.000 0.500 0.000
```

---

6.
MgCd2Cl: optimized geometry, PBE-GGA.

## Properties
Energy above the lowest structure with this stoichiometry = 0.49 eV/f.u.

Geometry as CIF:
```
data_MgCd2Cl
_chemical_formula_sum 'Mg2 Cd4 Cl2'
_space_group_name_H-M_alt 'I m m m'
_space_group_IT_number 71
_space_group_name_Hall '-I 2 2'
_cell_length_a 3.118
_cell_length_b 4.414
_cell_length_c 14.068
_cell_angle_alpha 90.00
_cell_angle_beta 90.00
_cell_angle_gamma 90.00
loop_
_atom_site_label
_atom_site_fract_x
_atom_site_fract_y
_atom_site_fract_z
Mg1 0.000 0.000 0.000
Cd1 0.000 0.500 0.305
Cl1 0.000 0.000 0.500
```

---

7.
Mg5Cd3Cl16: optimized geometry, PBE-GGA.

Geometry as CIF:
```
data_Mg5Cd3Cl16
_chemical_formula_sum 'Mg10 Cd6 Cl32'
_space_group_name_H-M_alt 'C 1 m 1'
_space_group_IT_number 8
_space_group_name_Hall 'C -2y'
_cell_length_a 13.135
_cell_length_b 7.543
_cell_length_c 11.809
_cell_angle_alpha 90.00
_cell_angle_beta 90.83
_cell_angle_gamma 90.00
loop_
_atom_site_label
_atom_site_fract_x
_atom_site_fract_y
_atom_site_fract_z
Mg1 0.000 0.000 0.000
Mg2 0.007 0.500 0.239
Mg3 0.085 0.253 0.502
Mg4 0.339 0.500 0.735
Cd1 0.254 0.253 0.003
Cd2 0.337 0.000 0.502
Cl1 0.000 0.000 0.615
Cl2 0.011 0.500 0.620
Cl3 0.080 0.251 0.120
Cl4 0.155 0.500 0.376
Cl5 0.161 0.000 0.393
Cl6 0.161 0.000 0.888
Cl7 0.183 0.500 0.863
Cl8 0.249 0.256 0.621
Cl9 0.339 0.000 0.128
Cl10 0.346 0.500 0.124
Cl11 0.417 0.274 0.869
Cl12 0.432 0.233 0.371
```

---

8.
MgCd2Cl: optimized geometry, PBE-GGA.

## Properties
Energy above the lowest structure with this stoichiometry = 0.73 eV/f.u.

Geometry as CIF:
```
data_MgCd2Cl
_chemical_formula_sum 'Mg2 Cd4 Cl2'
_space_group_name_H-M_alt 'C m m m'
_space_group_IT_number 65
_space_group_name_Hall '-C 2 2'
_cell_length_a 4.805
_cell_length_b 4.813
_cell_length_c 7.984
_cell_angle_alpha 90.00
_cell_angle_beta 90.00
_cell_angle_gamma 90.00
loop_
_atom_site_label
_atom_site_fract_x
_atom_site_fract_y
_atom_site_fract_z
Mg1 0.000 0.000 0.000
Cd1 0.000 0.500 0.241
Cl1 0.000 0.000 0.500
```

---

9.
MgCd2Cl: optimized geometry, PBE-GGA.

## Properties
Energy above the lowest structure with this stoichiometry = 1.60 eV/f.u.

Geometry as CIF:
```
data_MgCd2Cl
_chemical_formula_sum 'Mg4 Cd8 Cl4'
_space_group_name_H-M_alt 'F m -3 m'
_space_group_IT_number 225
_space_group_name_Hall '-F 4 2 3'
_cell_length_a 7.473
_cell_length_b 7.473
_cell_length_c 7.473
_cell_angle_alpha 90.00
_cell_angle_beta 90.00
_cell_angle_gamma 90.00
loop_
_atom_site_label
_atom_site_fract_x
_atom_site_fract_y
_atom_site_fract_z
Mg1 0.000 0.000 0.000
Cd1 0.250 0.250 0.250
Cl1 0.000 0.000 0.500
```

---

10.
MgCd2Cl: optimized geometry, PBE-GGA.

## Properties
Energy above the lowest structure with this stoichiometry = 0.87 eV/f.u.

Geometry as CIF:
```
data_MgCd2Cl
_chemical_formula_sum 'Mg1 Cd2 Cl1'
_space_group_name_H-M_alt 'P 4/m m m'
_space_group_IT_number 123
_space_group_name_Hall '-P 4 2'
_cell_length_a 4.077
_cell_length_b 4.077
_cell_length_c 6.134
_cell_angle_alpha 90.00
_cell_angle_beta 90.00
_cell_angle_gamma 90.00
loop_
_atom_site_label
_atom_site_fract_x
_atom_site_fract_y
_atom_site_fract_z
Mg1 0.000 0.000 0.000
Cd1 0.000 0.500 0.500
Cl1 0.500 0.500 0.000
```

---

11.
MgCd2Cl: optimized geometry, PBE-GGA.

## Properties
Energy above the lowest structure with this stoichiometry = 1.13 eV/f.u.

Geometry as CIF:
```
data_MgCd2Cl
_chemical_formula_sum 'Mg2 Cd4 Cl2'
_space_group_name_H-M_alt 'I -4 m 2'
_space_group_IT_number 119
_space_group_name_Hall 'I -4 -2'
_cell_length_a 4.452
_cell_length_b 4.452
_cell_length_c 9.625
_cell_angle_alpha 90.00
_cell_angle_beta 90.00
_cell_angle_gamma 90.00
loop_
_atom_site_label
_atom_site_fract_x
_atom_site_fract_y
_atom_site_fract_z
Mg1 0.000 0.000 0.000
Cd1 0.000 0.000 0.500
Cd2 0.000 0.500 0.750
Cl1 0.000 0.500 0.250
```

---

12.
MgCd2Cl: optimized geometry, PBE-GGA.

## Properties
Energy above the lowest structure with this stoichiometry = 0.65 eV/f.u.

Geometry as CIF:
```
data_MgCd2Cl
_chemical_formula_sum 'Mg3 Cd6 Cl3'
_space_group_name_H-M_alt 'R -3 m'
_space_group_IT_number 166
_space_group_name_Hall '-R 3 2"'
_cell_length_a 3.6187
_cell_length_b 3.6187
_cell_length_c 25.1835
_cell_angle_alpha 90.00
_cell_angle_beta 90.00
_cell_angle_gamma 120.00
loop_
_atom_site_label
_atom_site_fract_x
_atom_site_fract_y
_atom_site_fract_z
Mg1 0.0000 0.0000 0.0000
Cd1 0.0000 0.0000 0.2506
Cl1 0.0000 0.0000 0.5000
```

---

| no. | raw formation energy (eV per atom) | raw total energy (eV per atom) |
| --- | --- | --- |
| 1 | -0.28 | -1.599 |
| 2 | -0.47 | -1.789 |
| 3 | -0.24 | -1.561 |
| 4 | -1.47 | -3.114 |
| 5 | -0.28 | -1.601 |
| 6 | -0.35 | -1.668 |
| 7 | -1.54 | -3.220 |
| 8 | -0.29 | -1.606 |
| 9 | -0.07 | -1.389 |
| 10 | -0.25 | -1.571 |
| 11 | -0.19 | -1.506 |
| 12 | -0.31 | -1.626 |